1.
! LiCdW2 | the Alexandria database | GGA-PBE | optimized geometry; values from VASP
! **Offset from the most stable computed form**: 631.7 meV per atom
! **Final energy**: -25.09 eV per cell
! **Formation enthalpy at 0 K**: 0.911 eV/atom
! **Total moment**: 0.00 μB/f.u.
&SYSTEM
  ibrav = 0, nat = 4, ntyp = 3
/
ATOMIC_SPECIES
Cd 112.41 Cd.upf
Li 6.94 Li.upf
W 183.84 W.upf
ATOMIC_POSITIONS crystal
Cd 0.5000 0.5000 0.2500
Li 0.5000 0.5000 0.7500
W 0.0000 0.0000 0.9558
W 0.0000 0.0000 0.5442
CELL_PARAMETERS angstrom
3.3611 0.0000 0.0000
0.0000 3.3611 0.0000
0.0000 0.0000 5.7421


2.
! Li2CdW | the Alexandria database | GGA-PBE | optimized geometry; values from VASP
! **Offset from the most stable computed form**: 473.7 meV per atom
! **Final energy**: -14.88 eV per cell
! **Formation enthalpy at 0 K**: 0.703 eV/atom
! **Total moment**: 1.45 μB/f.u.
&SYSTEM
  ibrav = 0, nat = 4, ntyp = 3
/
ATOMIC_SPECIES
Cd 112.41 Cd.upf
Li 6.94 Li.upf
W 183.84 W.upf
ATOMIC_POSITIONS crystal
Cd 0.5000 0.0000 0.5000
Li 0.0000 0.0000 0.0000
Li 0.0000 0.5000 0.5000
W 0.5000 0.5000 0.0000
CELL_PARAMETERS angstrom
-1.8180 -1.3753 3.3319
-1.7868 -2.8885 -2.1672
3.1222 -2.4506 0.6921


3.
! Li2Cd2W | the Alexandria database | GGA-PBE | optimized geometry; values from VASP
! **Offset from the most stable computed form**: 369.2 meV per atom
! **Final energy**: -15.05 eV per cell
! **Formation enthalpy at 0 K**: 0.713 eV/atom
! **Total moment**: 1.99 μB/f.u.
&SYSTEM
  ibrav = 0, nat = 5, ntyp = 3
/
ATOMIC_SPECIES
Li 6.94 Li.upf
W 183.84 W.upf
Cd 112.41 Cd.upf
ATOMIC_POSITIONS crystal
Li 0.3642 0.3642 0.2716
Li 0.6358 0.6358 0.7284
W 0.0000 0.0000 0.0000
Cd 0.7500 0.2500 0.5000
Cd 0.2500 0.7500 0.5000
CELL_PARAMETERS angstrom
-2.4686 3.9625 -1.0052
-1.1379 0.4619 4.6149
1.3444 4.3166 2.3703


4.
! LiCd2W | the Alexandria database | GGA-PBE | optimized geometry; values from VASP
! **Offset from the most stable computed form**: 93.2 meV per atom
! **Final energy**: -15.32 eV per cell
! **Formation enthalpy at 0 K**: 0.344 eV/atom
! **Total moment**: 0.00 μB/f.u.
&SYSTEM
  ibrav = 0, nat = 4, ntyp = 3
/
ATOMIC_SPECIES
Cd 112.41 Cd.upf
Li 6.94 Li.upf
W 183.84 W.upf
ATOMIC_POSITIONS crystal
Cd 0.0000 0.0000 0.0000
Cd 0.5000 0.5000 0.0000
Li 0.5000 0.0000 0.5000
W 0.0000 0.5000 0.5000
CELL_PARAMETERS angstrom
-4.9982 -0.9186 -0.1603
0.6581 -2.8555 -4.1551
0.3659 -2.2734 1.6203


5.
! LiCdW2 | the Alexandria database | GGA-PBE | optimized geometry; values from VASP
! **Offset from the most stable computed form**: 892.5 meV per atom
! **Final energy**: -24.05 eV per cell
! **Formation enthalpy at 0 K**: 1.172 eV/atom
! **Total moment**: 0.00 μB/f.u.
&SYSTEM
  ibrav = 0, nat = 4, ntyp = 3
/
ATOMIC_SPECIES
Li 6.94 Li.upf
W 183.84 W.upf
Cd 112.41 Cd.upf
ATOMIC_POSITIONS crystal
Li 0.0000 0.0000 0.0000
W 0.2500 0.2500 0.2500
W 0.7500 0.7500 0.7500
Cd 0.5000 0.5000 0.5000
CELL_PARAMETERS angstrom
0.0000 3.1797 3.1797
3.1797 0.0000 3.1797
3.1797 3.1797 0.0000


6.
! LiCd2W | the Alexandria database | GGA-PBE | optimized geometry; values from VASP
! **Offset from the most stable computed form**: 0.0 meV per atom
! **Final energy**: -15.69 eV per cell
! **Formation enthalpy at 0 K**: 0.251 eV/atom
! **Total moment**: 0.00 μB/f.u.
&SYSTEM
  ibrav = 0, nat = 4, ntyp = 3
/
ATOMIC_SPECIES
Cd 112.41 Cd.upf
Li 6.94 Li.upf
W 183.84 W.upf
ATOMIC_POSITIONS crystal
Cd 0.0000 0.0000 0.0058
Cd 0.0000 0.0000 0.4942
Li 0.5000 0.5000 0.2500
W 0.5000 0.5000 0.7500
CELL_PARAMETERS angstrom
-2.5932 -1.0685 -0.1300
0.8842 -1.1334 -2.4119
2.8166 -7.3834 4.5022


7.
! LiCdW4 | the Alexandria database | GGA-PBE | optimized geometry; values from VASP
! **Final energy**: -50.28 eV per cell
! **Formation enthalpy at 0 K**: 0.727 eV/atom
! **Total moment**: 0.00 μB/f.u.
&SYSTEM
  ibrav = 0, nat = 6, ntyp = 3
/
ATOMIC_SPECIES
Li 6.94 Li.upf
Cd 112.41 Cd.upf
W 183.84 W.upf
ATOMIC_POSITIONS crystal
Li 0.0000 0.0000 0.0000
Cd 0.7500 0.7500 0.7500
W 0.8779 0.3740 0.3740
W 0.3740 0.3740 0.8779
W 0.3740 0.8779 0.3740
W 0.3740 0.3740 0.3740
CELL_PARAMETERS angstrom
0.0000 3.7856 3.7856
3.7856 0.0000 3.7856
3.7856 3.7856 0.0000


8.
! LiCd2W | the Alexandria database | GGA-PBE | optimized geometry; values from VASP
! **Offset from the most stable computed form**: 171.1 meV per atom
! **Final energy**: -15.01 eV per cell
! **Formation enthalpy at 0 K**: 0.422 eV/atom
! **Total moment**: 0.44 μB/f.u.
&SYSTEM
  ibrav = 0, nat = 4, ntyp = 3
/
ATOMIC_SPECIES
Cd 112.41 Cd.upf
Li 6.94 Li.upf
W 183.84 W.upf
ATOMIC_POSITIONS crystal
Cd 0.0000 0.0000 0.0002
Cd 0.0000 0.0000 0.4998
Li 0.5000 0.5000 0.2500
W 0.5000 0.5000 0.7500
CELL_PARAMETERS angstrom
-2.5430 0.2067 -1.1105
-1.4395 -2.9403 2.7488
-1.3837 4.4063 3.9887


9.
! LiCd2W | the Alexandria database | GGA-PBE | optimized geometry; values from VASP
! **Offset from the most stable computed form**: 497.6 meV per atom
! **Final energy**: -13.70 eV per cell
! **Formation enthalpy at 0 K**: 0.749 eV/atom
! **Total moment**: 2.59 μB/f.u.
&SYSTEM
  ibrav = 0, nat = 4, ntyp = 3
/
ATOMIC_SPECIES
Cd 112.41 Cd.upf
Li 6.94 Li.upf
W 183.84 W.upf
ATOMIC_POSITIONS crystal
Cd 0.0000 0.0000 0.0000
Cd 0.2500 0.2500 0.2500
Li 0.5000 0.5000 0.5000
W 0.7500 0.7500 0.7500
CELL_PARAMETERS angstrom
-2.8393 2.7205 2.5644
-1.2597 -1.3367 4.3203
1.6825 2.2760 3.7454


10.
! LiCd2W | the Alexandria database | GGA-PBE | optimized geometry; values from VASP
! **Offset from the most stable computed form**: 101.9 meV per atom
! **Final energy**: -15.29 eV per cell
! **Formation enthalpy at 0 K**: 0.353 eV/atom
! **Total moment**: 0.00 μB/f.u.
&SYSTEM
  ibrav = 0, nat = 4, ntyp = 3
/
ATOMIC_SPECIES
Cd 112.41 Cd.upf
Li 6.94 Li.upf
W 183.84 W.upf
ATOMIC_POSITIONS crystal
Cd 0.0000 0.0000 0.9849
Cd 0.5000 0.5000 0.2684
Li 0.0000 0.0000 0.5065
W 0.5000 0.5000 0.7402
CELL_PARAMETERS angstrom
2.7950 0.0000 0.0000
0.0000 2.7950 0.0000
0.0000 0.0000 9.3143


11.
! LiCdW | the Alexandria database | GGA-PBE | optimized geometry; values from VASP
! **Offset from the most stable computed form**: 1031.6 meV per atom
! **Final energy**: -11.51 eV per cell
! **Formation enthalpy at 0 K**: 1.423 eV/atom
! **Total moment**: 0.80 μB/f.u.
&SYSTEM
  ibrav = 0, nat = 3, ntyp = 3
/
ATOMIC_SPECIES
Cd 112.41 Cd.upf
Li 6.94 Li.upf
W 183.84 W.upf
ATOMIC_POSITIONS crystal
Cd 0.5000 0.5000 0.5000
Li 0.7500 0.7500 0.7500
W 0.0000 0.0000 0.0000
CELL_PARAMETERS angstrom
4.1993 0.0000 0.0000
2.0997 3.6367 0.0000
2.0997 1.2122 3.4287


12.
! Li2CdW | the Alexandria database | GGA-PBE | optimized geometry; values from VASP
! **Offset from the most stable computed form**: 773.1 meV per atom
! **Final energy**: -27.37 eV per cell
! **Formation enthalpy at 0 K**: 1.003 eV/atom
! **Total moment**: 0.00 μB/f.u.
&SYSTEM
  ibrav = 0, nat = 8, ntyp = 3
/
ATOMIC_SPECIES
Li 6.94 Li.upf
W 183.84 W.upf
Cd 112.41 Cd.upf
ATOMIC_POSITIONS crystal
Li 0.6130 0.1250 0.2500
Li 0.1370 0.6250 0.2500
Li 0.3750 0.3870 0.7500
Li 0.8750 0.8630 0.7500
W 0.0000 0.0000 0.0000
W 0.7500 0.2500 0.5000
Cd 0.5000 0.5000 0.0000
Cd 0.2500 0.7500 0.5000
CELL_PARAMETERS angstrom
-0.5130 0.3045 -6.9043
-5.8791 -3.6585 0.2755
-4.6425 0.6632 -3.1037


13.
! Li2CdW | the Alexandria database | GGA-PBE | optimized geometry; values from VASP
! **Offset from the most stable computed form**: 348.0 meV per atom
! **Final energy**: -15.39 eV per cell
! **Formation enthalpy at 0 K**: 0.577 eV/atom
! **Total moment**: 0.00 μB/f.u.
&SYSTEM
  ibrav = 0, nat = 4, ntyp = 3
/
ATOMIC_SPECIES
Cd 112.41 Cd.upf
Li 6.94 Li.upf
W 183.84 W.upf
ATOMIC_POSITIONS crystal
Cd 0.0000 0.5000 0.5000
Li 0.0000 0.0000 0.0000
Li 0.5000 0.5000 0.0000
W 0.5000 0.0000 0.5000
CELL_PARAMETERS angstrom
-2.6719 3.7705 1.4474
-3.9700 -2.7708 -0.1107
0.4109 -0.6909 2.5581


14.
! LiCdW2 | the Alexandria database | GGA-PBE | optimized geometry; values from VASP
! **Offset from the most stable computed form**: 364.8 meV per atom
! **Final energy**: -26.16 eV per cell
! **Formation enthalpy at 0 K**: 0.644 eV/atom
! **Total moment**: 0.00 μB/f.u.
&SYSTEM
  ibrav = 0, nat = 4, ntyp = 3
/
ATOMIC_SPECIES
Cd 112.41 Cd.upf
Li 6.94 Li.upf
W 183.84 W.upf
ATOMIC_POSITIONS crystal
Cd 0.5000 0.5000 0.2500
Li 0.5000 0.5000 0.7500
W 0.0000 0.0000 0.9939
W 0.0000 0.0000 0.5061
CELL_PARAMETERS angstrom
-2.5811 -0.2167 -0.8265
0.8823 -2.2183 1.3011
-3.1001 3.8524 8.6706


15.
! Li2CdW | the Alexandria database | GGA-PBE | optimized geometry; values from VASP
! **Offset from the most stable computed form**: 563.2 meV per atom
! **Final energy**: -14.53 eV per cell
! **Formation enthalpy at 0 K**: 0.793 eV/atom
! **Total moment**: 1.97 μB/f.u.
&SYSTEM
  ibrav = 0, nat = 4, ntyp = 3
/
ATOMIC_SPECIES
Li 6.94 Li.upf
W 183.84 W.upf
Cd 112.41 Cd.upf
ATOMIC_POSITIONS crystal
Li 0.2500 0.2500 0.2500
Li 0.7500 0.7500 0.7500
W 0.5000 0.5000 0.5000
Cd 0.0000 0.0000 0.0000
CELL_PARAMETERS angstrom
3.0249 -2.0879 -2.5139
2.6550 -3.0824 1.8108
-0.5479 -4.2963 -1.0349